A plane-wave DFT calculation with GGA-PBE was carried out for crystalline Ba4Ge2N at its relaxed geometry.

The space group is C2/m (No. 12) and the conventional cell measures 16.8281, 4.2047 and 6.8353 Å, with angles of 90.00, 100.84 and 90.00 degrees. The inequivalent atoms are Ba at (0.0718, 0.0000, 0.2545), Ba at (0.1413, 0.5000, 0.8397), Ge at (0.2495, 0.0000, 0.6160) and N at (0.0000, 0.5000, 0.0000).

The value obtained for the raw total energy is -56.14 eV/cell. For the energy above the most stable polymorph in this dataset, the calculation gives 0 meV/atom. The crystal system is monoclinic. The calculation puts the formation energy from raw total energies at -0.4025 eV per atom. As for the mass density: 5.0 g/cm3. As for the size of the total moment: 0.841 μB/f.u.